Version P
Ac2PmAl: optimized geometry, GGA-PBE.

```
data_Ac2PmAl
_symmetry_space_group_name_H-M 'P 4/m m m'
_symmetry_Int_Tables_number 123
_symmetry_space_group_name_Hall '-P 4 2'
_cell_length_a 3.950
_cell_length_b 3.950
_cell_length_c 9.106
_cell_angle_alpha 90.00
_cell_angle_beta 90.00
_cell_angle_gamma 90.00
loop_
_atom_site_label
_atom_site_type_symbol
_atom_site_fract_x
_atom_site_fract_y
_atom_site_fract_z
Ac1 Ac 0.000 0.000 0.211
Pm1 Pm 0.500 0.500 0.500
Al1 Al 0.500 0.500 0.000
```

Output
- magnetic moment (μB/f.u.) = 0.0
- calculated density (g/cm3) = 7.3

***

Version Q
Ac2PmAl: optimized geometry, GGA-PBE.

```
data_Ac2PmAl
_symmetry_space_group_name_H-M 'P 4/m m m'
_symmetry_Int_Tables_number 123
_symmetry_space_group_name_Hall '-P 4 2'
_cell_length_a 5.195
_cell_length_b 5.195
_cell_length_c 5.019
_cell_angle_alpha 90.00
_cell_angle_beta 90.00
_cell_angle_gamma 90.00
loop_
_atom_site_label
_atom_site_type_symbol
_atom_site_fract_x
_atom_site_fract_y
_atom_site_fract_z
Ac1 Ac 0.000 0.500 0.000
Pm1 Pm 0.000 0.000 0.500
Al1 Al 0.500 0.500 0.500
```

Output
- magnetic moment (μB/f.u.) = 0.0
- calculated density (g/cm3) = 7.7

***

Most stable: version P. Least stable: version Q.

***

Version P
AcPm2Al: optimized geometry, GGA-PBE.

```
data_AcPm2Al
_symmetry_space_group_name_H-M 'R -3 m'
_symmetry_Int_Tables_number 166
_symmetry_space_group_name_Hall '-R 3 2"'
_cell_length_a 3.6830
_cell_length_b 3.6830
_cell_length_c 35.5326
_cell_angle_alpha 90.00
_cell_angle_beta 90.00
_cell_angle_gamma 120.00
loop_
_atom_site_label
_atom_site_type_symbol
_atom_site_fract_x
_atom_site_fract_y
_atom_site_fract_z
Ac1 Ac 0.0000 0.0000 0.0000
Pm1 Pm 0.0000 0.0000 0.1040
Al1 Al 0.0000 0.0000 0.5000
```

Output
- magnetic moment (μB/f.u.) = 0.0
- calculated density (g/cm3) = 6.5

***

Version Q
AcPm2Al: optimized geometry, GGA-PBE.

```
data_AcPm2Al
_symmetry_space_group_name_H-M 'F m -3 m'
_symmetry_Int_Tables_number 225
_symmetry_space_group_name_Hall '-F 4 2 3'
_cell_length_a 7.926
_cell_length_b 7.926
_cell_length_c 7.926
_cell_angle_alpha 90.00
_cell_angle_beta 90.00
_cell_angle_gamma 90.00
loop_
_atom_site_label
_atom_site_type_symbol
_atom_site_fract_x
_atom_site_fract_y
_atom_site_fract_z
Ac1 Ac 0.000 0.000 0.000
Pm1 Pm 0.250 0.250 0.250
Al1 Al 0.000 0.000 0.500
```

Output
- magnetic moment (μB/f.u.) = 0.0
- calculated density (g/cm3) = 7.3

***

Most stable: version Q. Least stable: version P.

***

Version P
AcPm2Al: optimized geometry, GGA-PBE.

```
data_AcPm2Al
_symmetry_space_group_name_H-M 'P m m n'
_symmetry_Int_Tables_number 59
_cell_length_a 5.518
_cell_length_b 6.982
_cell_length_c 6.606
_cell_angle_alpha 90.00
_cell_angle_beta 90.00
_cell_angle_gamma 90.00
loop_
_symmetry_equiv_pos_as_xyz
'x,y,z'
'-x,-y,-z'
'-x+1/2,-y+1/2,z'
'x+1/2,y+1/2,-z'
'x+1/2,-y,-z'
'-x+1/2,y,z'
'-x,y+1/2,-z'
'x,-y+1/2,z'
loop_
_atom_site_label
_atom_site_type_symbol
_atom_site_fract_x
_atom_site_fract_y
_atom_site_fract_z
Ac1 Ac 0.250 0.250 0.113
Pm1 Pm 0.250 0.012 0.641
Al1 Al 0.250 0.750 0.209
```

Output
- magnetic moment (μB/f.u.) = 0.0
- calculated density (g/cm3) = 7.1

***

Version Q
AcPm2Al: optimized geometry, GGA-PBE.

```
data_AcPm2Al
_symmetry_space_group_name_H-M 'R 3 m'
_symmetry_Int_Tables_number 160
_symmetry_space_group_name_Hall 'R 3 -2"'
_cell_length_a 5.1921
_cell_length_b 5.1921
_cell_length_c 17.8912
_cell_angle_alpha 90.00
_cell_angle_beta 90.00
_cell_angle_gamma 120.00
loop_
_atom_site_label
_atom_site_type_symbol
_atom_site_fract_x
_atom_site_fract_y
_atom_site_fract_z
Ac1 Ac 0.0000 0.0000 0.0000
Pm1 Pm 0.0000 0.0000 0.5527
Pm2 Pm 0.0000 0.0000 0.7854
Al1 Al 0.0000 0.0000 0.1946
```

Output
- magnetic moment (μB/f.u.) = 0.0
- calculated density (g/cm3) = 6.5

***

Version R
AcPm2Al: optimized geometry, GGA-PBE.

```
data_AcPm2Al
_symmetry_space_group_name_H-M 'P 4/m m m'
_symmetry_Int_Tables_number 123
_symmetry_space_group_name_Hall '-P 4 2'
_cell_length_a 3.695
_cell_length_b 3.695
_cell_length_c 9.400
_cell_angle_alpha 90.00
_cell_angle_beta 90.00
_cell_angle_gamma 90.00
loop_
_atom_site_label
_atom_site_type_symbol
_atom_site_fract_x
_atom_site_fract_y
_atom_site_fract_z
Ac1 Ac 0.000 0.000 0.000
Pm1 Pm 0.500 0.500 0.298
Al1 Al 0.000 0.000 0.500
```

Output
- magnetic moment (μB/f.u.) = 0.0
- calculated density (g/cm3) = 7.0

***

Most stable: version R. Least stable: version Q.

***

Version P
AcPrAl: optimized geometry, GGA-PBE.

```
data_AcPrAl
_symmetry_space_group_name_H-M 'F -4 3 m'
_symmetry_Int_Tables_number 216
_symmetry_space_group_name_Hall 'F -4 2 3'
_cell_length_a 7.586
_cell_length_b 7.586
_cell_length_c 7.586
_cell_angle_alpha 90.00
_cell_angle_beta 90.00
_cell_angle_gamma 90.00
loop_
_atom_site_label
_atom_site_type_symbol
_atom_site_fract_x
_atom_site_fract_y
_atom_site_fract_z
Ac1 Ac 0.000 0.000 0.000
Pr1 Pr 0.000 0.000 0.500
Al1 Al 0.250 0.250 0.750
```

Output
- magnetic moment (μB/f.u.) = 0.0
- calculated density (g/cm3) = 6.0

***

Version Q
AcPrAl: optimized geometry, GGA-PBE.

```
data_AcPrAl
_symmetry_space_group_name_H-M 'I 4 m m'
_symmetry_Int_Tables_number 107
_symmetry_space_group_name_Hall 'I 4 -2'
_cell_length_a 3.768
_cell_length_b 3.768
_cell_length_c 13.954
_cell_angle_alpha 90.00
_cell_angle_beta 90.00
_cell_angle_gamma 90.00
loop_
_atom_site_label
_atom_site_type_symbol
_atom_site_fract_x
_atom_site_fract_y
_atom_site_fract_z
Ac1 Ac 0.000 0.000 0.000
Pr1 Pr 0.000 0.000 0.714
Al1 Al 0.000 0.000 0.346
```

Output
- magnetic moment (μB/f.u.) = 0.0
- calculated density (g/cm3) = 6.6

***

Version R
AcPrAl: optimized geometry, GGA-PBE.

```
data_AcPrAl
_symmetry_space_group_name_H-M 'P 3 m 1'
_symmetry_Int_Tables_number 156
_cell_length_a 5.3071
_cell_length_b 5.3071
_cell_length_c 3.9732
_cell_angle_alpha 90.00
_cell_angle_beta 90.00
_cell_angle_gamma 120.00
loop_
_symmetry_equiv_pos_as_xyz
'x,y,z'
'-y,x-y,z'
'-x+y,-x,z'
'-y,-x,z'
'-x+y,y,z'
'x,x-y,z'
loop_
_atom_site_label
_atom_site_type_symbol
_atom_site_fract_x
_atom_site_fract_y
_atom_site_fract_z
Ac1 Ac 0.0000 0.0000 0.0000
Pr1 Pr 0.6667 0.3333 0.4203
Al1 Al 0.3333 0.6667 0.6402
```

Output
- magnetic moment (μB/f.u.) = 0.0
- calculated density (g/cm3) = 6.8

***

Version S
AcPrAl: optimized geometry, GGA-PBE.

```
data_AcPrAl
_symmetry_space_group_name_H-M 'P -3 m 1'
_symmetry_Int_Tables_number 164
_symmetry_space_group_name_Hall '-P 3 2"'
_cell_length_a 5.3177
_cell_length_b 5.3177
_cell_length_c 8.0456
_cell_angle_alpha 90.00
_cell_angle_beta 90.00
_cell_angle_gamma 120.00
loop_
_atom_site_label
_atom_site_type_symbol
_atom_site_fract_x
_atom_site_fract_y
_atom_site_fract_z
Ac1 Ac 0.3333 0.6667 0.3779
Pr1 Pr 0.3333 0.6667 0.9028
Al1 Al 0.0000 0.0000 0.1828
```

Output
- magnetic moment (μB/f.u.) = 0.0
- calculated density (g/cm3) = 6.7

***

Most stable: version Q. Least stable: version P.